No. 1
Compound: RbTlBi2Rh
Source: Alexandria
Functional: PBE
Structure: optimized geometry

- Symmetry: P4/mmm

Cell lengths 5.5141, 5.4394, 5.5141 Å; angles 90.00, 90.00, 90.00 degrees
Sites, in units of the cell vectors:
Bi  0.0000  0.0000  0.5000
Bi  0.5000  0.0000  0.0000
Rb  0.5000  0.5000  0.5000
Tl  0.0000  0.5000  0.0000
Rh  0.0000  0.0000  0.0000

No. 2
Compound: Ni2AgAu
Source: Alexandria
Functional: PBE
Structure: optimized geometry

- Symmetry: Cm

Cell lengths 4.9475, 4.9475, 4.5566 Å; angles 72.25, 72.25, 33.11 degrees
Last column: magnetic moment on the atom in μB.
Sites, in units of the cell vectors:
Ag  0.4872  0.4872  0.5355  0.00
Au  0.2640  0.2640  0.2130  0.01
Ni  0.7301  0.7301  0.7404  0.45
Ni  0.0186  0.0186  0.0111  0.50

No. 3
Compound: Sr4ErMg5
Source: Alexandria
Functional: PBE
Structure: optimized geometry

- Symmetry: P4/mmm

Cell lengths 4.0496, 4.0496, 20.9199 Å; angles 90.00, 90.00, 90.00 degrees
Sites, in units of the cell vectors:
Mg  0.5000  0.5000  0.5000
Mg  0.5000  0.5000  0.9200
Mg  0.5000  0.5000  0.0800
Mg  0.5000  0.5000  0.2914
Mg  0.5000  0.5000  0.7086
Sr  0.0000  0.0000  0.6046
Sr  0.0000  0.0000  0.8136
Sr  0.0000  0.0000  0.3954
Sr  0.0000  0.0000  0.1864
Er  0.0000  0.0000  0.0000

No. 4
Compound: YZn2CdCu
Source: Alexandria
Functional: PBE
Structure: optimized geometry

- Symmetry: P4/mmm

Cell lengths 4.6790, 5.1485, 4.6790 Å; angles 90.00, 90.00, 90.00 degrees
Sites, in units of the cell vectors:
Cd  0.5000  0.5000  0.5000
Zn  0.0000  0.0000  0.5000
Zn  0.5000  0.0000  0.0000
Y  0.0000  0.5000  0.0000
Cu  0.0000  0.0000  0.0000

Number 1: energy of formation 0.9 kJ per mole of atoms. Number 2: energy of formation 16.8 kJ per mole of atoms. Number 3: energy of formation -4.2 kJ per mole of atoms. Number 4: energy of formation 7.2 kJ per mole of atoms.